BaVSb2Te | PBE-GGA | optimized geometry

volume: 48.2 A^3/atom
ΔE_f (raw): 1267 meV per atom
E_tot: -3.218 eV per atom
E above lowest polymorph: 8.259 eV per formula unit

Cell: 6.182 6.182 6.306 Å, 90.00 90.00 90.00°
Space group P4/mmm (No. 123)
Symmetry-distinct sites (fractional):
1 Ba 0.000 0.000 0.000 (multiplicity 1)
2 V 0.500 0.500 0.500 (multiplicity 1)
3 Sb 0.000 0.500 0.000 (multiplicity 2)
4 Te 0.000 0.000 0.500 (multiplicity 1)